Zr3VRu: relaxed, PBE.

Cell lengths 4.9960, 4.9960, 4.9960 Å; angles 90.00, 90.00, 90.00 degrees
Fractional coordinates of all 5 atoms:
Ru: 0.0000 0.0000 0.0000
Zr: 0.5000 0.0000 0.0000
Zr: 0.0000 0.0000 0.5000
Zr: 0.0000 0.5000 0.0000
V: 0.5000 0.5000 0.5000

Values from the calculation:
Its total moment is 2.698 μB/f.u. For the formation energy, the calculation gives 0.61 eV/atom. As for the calculated total energy: -8.198 eV per atom.